Material: Cd2FeBr
Method: DFT, SCAN
State: PBEsol geometry

Output
Electronic total energy   -23.95 eV per atom
Symmetry   Fm-3m (225)

Cell: 4.9062 4.9062 4.9062 Å, 60.00 60.00 60.00°
Fractional positions:
Cd 0.7500 0.7500 0.7500
Cd 0.2500 0.2500 0.2500
Br 0.0000 0.0000 0.0000
Fe 0.5000 0.5000 0.5000